VASP calculation (PBE) on a relaxed structure of BiTe5Pb4.

Calculated volume (A^3/atom): 35.05
E_form (uncorrected) (kcal/mol of atoms): -7.6
ρ (g cm⁻³): 7.9
Symmetry: I4/mmm (139)

abc: 16.6328 16.6328 16.6328
angles: 163.98 163.98 22.74
With the nearest neighbours (Å) after each atom.
Element x y z (fractional)
Bi (0.0000, 0.0000, 0.0000)  6 Te 3.22-3.28
Te (0.0986, 0.0986, 0.0000)  1 Bi 3.22, 5 Pb 3.28-3.31
Te (0.2999, 0.2999, 0.0000)  6 Pb 3.25-3.28
Te (0.5000, 0.5000, 0.0000)  2 Pb 3.26, 4 Bi 3.28
Te (0.7001, 0.7001, 0.0000)  6 Pb 3.25-3.28
Te (0.9014, 0.9014, 0.0000)  1 Bi 3.22, 5 Pb 3.28-3.31
Pb (0.2001, 0.2001, 0.0000)  6 Te 3.25-3.31
Pb (0.4000, 0.4000, 0.0000)  6 Te 3.26-3.28
Pb (0.6000, 0.6000, 0.0000)  6 Te 3.26-3.28
Pb (0.7999, 0.7999, 0.0000)  6 Te 3.25-3.31